! Pr3Dy8 GGA-PBE optimized geometry; values from VASP
! - ΔH_f (0 K): 544 meV/atom
! - Raw total energy: -45.2 eV for the cell shown
! - ρ: 7.62 g/cm³
! - Space group: R-3, No. 148
&SYSTEM
  ibrav = 0, nat = 11, ntyp = 2
/
ATOMIC_SPECIES
Pr 140.91 Pr.upf
Dy 162.50 Dy.upf
ATOMIC_POSITIONS crystal
Pr 0.500 0.000 0.500
Pr 0.000 0.500 0.500
Pr 0.500 0.500 0.000
Dy 0.914 0.304 0.115
Dy 0.304 0.115 0.914
Dy 0.115 0.914 0.304
Dy 0.352 0.352 0.352
Dy 0.648 0.648 0.648
Dy 0.885 0.086 0.696
Dy 0.696 0.885 0.086
Dy 0.086 0.696 0.885
CELL_PARAMETERS angstrom
-1.286 6.087 3.652
-3.727 2.515 -5.642
-5.985 -2.975 2.715